Entry 1:
NdPaPO (GGA-PBE, relaxed); excess energy over the best structure of this formula in the dataset = 74 meV per atom; size of the total moment = 2.0 μB/cell; symmetry = P4/nmm, No. 129
1.0
4.201 0.000 0.000
0.000 4.201 0.000
0.000 0.000 9.224
P O Nd Pa
2 2 2 2
Cartesian
2.100 2.100 2.509
0.000 0.000 6.715
0.000 2.100 0.000
2.100 0.000 0.000
2.100 0.000 4.612
0.000 2.100 4.612
2.100 2.100 8.012
0.000 0.000 1.212

***

Entry 2:
Zn2P4IBr (GGA-PBE, relaxed); symmetry = I-4, No. 82; final energy = -25.19 eV/cell
1.0
-3.037 3.037 6.037
3.037 -3.037 6.037
3.037 3.037 -6.037
P Br Zn I
4 1 2 1
Cartesian
0.605 0.870 8.133
0.870 -0.605 3.941
2.432 2.167 2.096
2.167 3.642 -2.096
0.000 0.000 0.000
0.000 0.000 6.037
3.037 0.000 3.019
0.000 3.037 3.019

***

Entry 3:
Hf4Ta2Al3C3 (GGA-PBE, relaxed); size of the total moment = 0.0 μB/cell; symmetry = C2/c, No. 15; final energy = -220.97 eV/cell
1.0
5.562 0.000 0.000
-2.778 4.819 0.000
-0.014 -3.206 14.140
Hf Ta Al C
8 4 6 6
Cartesian
1.858 1.594 8.370
0.919 -0.016 1.300
1.851 1.629 12.841
3.727 1.606 1.300
-0.956 0.007 12.840
0.912 0.019 5.770
-0.923 0.018 8.370
3.693 1.595 5.771
1.829 -1.601 8.237
0.941 3.215 5.903
1.851 -1.614 12.973
0.919 3.227 1.167
1.768 1.748 3.522
3.534 -1.598 10.592
-1.775 1.761 10.605
4.546 -0.148 3.535
-0.764 3.211 3.549
1.003 -0.135 10.619
2.766 3.203 0.000
-0.006 1.630 7.071
-0.007 -1.603 7.070
2.776 -0.017 7.069
0.019 1.616 0.000
2.781 0.000 0.000

***

Entry 4:
Gd2Lu3Ga3 (GGA-PBE, relaxed); excess energy over the best structure of this formula in the dataset = 0 meV per atom; size of the total moment = 0.0 μB/cell; symmetry = Pm, No. 6
1.0
-1.736 5.432 -3.178
-4.579 -1.173 0.496
0.278 1.647 6.458
Gd Lu Ga
2 3 3
Cartesian
-1.074 4.404 0.504
-2.736 2.367 3.115
-2.913 1.683 -0.140
0.090 1.844 5.194
-3.776 4.350 -1.798
-0.225 1.493 1.452
-0.728 4.617 4.200
-3.629 5.210 1.587

***

What did the third record say?
Hf4Ta2Al3C3 (GGA-PBE, relaxed); size of the total moment = 0.0 μB/cell; symmetry = C2/c, No. 15; final energy = -220.97 eV/cell
1.0
5.562 0.000 0.000
-2.778 4.819 0.000
-0.014 -3.206 14.140
Hf Ta Al C
8 4 6 6
Cartesian
1.858 1.594 8.370
0.919 -0.016 1.300
1.851 1.629 12.841
3.727 1.606 1.300
-0.956 0.007 12.840
0.912 0.019 5.770
-0.923 0.018 8.370
3.693 1.595 5.771
1.829 -1.601 8.237
0.941 3.215 5.903
1.851 -1.614 12.973
0.919 3.227 1.167
1.768 1.748 3.522
3.534 -1.598 10.592
-1.775 1.761 10.605
4.546 -0.148 3.535
-0.764 3.211 3.549
1.003 -0.135 10.619
2.766 3.203 0.000
-0.006 1.630 7.071
-0.007 -1.603 7.070
2.776 -0.017 7.069
0.019 1.616 0.000
2.781 0.000 0.000